No. 1
# GGA-PBE PIrOs2, relaxed
# Density = 18.368 Mg/m³
# ΔH_f (0 K) = 0.101 eV/atom
# Magnetization = 0.0 μB per formula unit
# DOS at the Fermi energy = 3.3 states/eV/cell
data_PIrOs2
_chemical_formula_sum 'P1 Ir1 Os2'
_cell_length_a 2.857
_cell_length_b 2.857
_cell_length_c 6.686
_cell_angle_alpha 90.00
_cell_angle_beta 90.00
_cell_angle_gamma 90.00
_space_group_name_H-M_alt 'P 4/m m m'
_space_group_IT_number 123
_space_group_name_Hall '-P 4 2'
loop_
_atom_site_label
_atom_site_fract_x
_atom_site_fract_y
_atom_site_fract_z
P1 0.000 0.000 0.000
Ir1 0.000 0.000 0.500
Os1 0.500 0.500 0.210

No. 2
# GGA-PBE P2IrOs, relaxed
# Density = 12.819 Mg/m³
# ΔH_f (0 K) = 0.742 eV/atom
# Magnetization = 0.0 μB per formula unit
# Energy above the most stable polymorph in this dataset = 1045 meV/atom
# DOS at the Fermi energy = 11.1 states/eV/cell
data_P2IrOs
_chemical_formula_sum 'P8 Ir4 Os4'
_cell_length_a 6.129
_cell_length_b 6.129
_cell_length_c 6.129
_cell_angle_alpha 90.00
_cell_angle_beta 90.00
_cell_angle_gamma 90.00
_space_group_name_H-M_alt 'F -4 3 m'
_space_group_IT_number 216
_space_group_name_Hall 'F -4 2 3'
loop_
_atom_site_label
_atom_site_fract_x
_atom_site_fract_y
_atom_site_fract_z
P1 0.000 0.000 0.000
P2 0.250 0.250 0.250
Ir1 0.250 0.250 0.750
Os1 0.000 0.000 0.500